1.
DFT (GGA-PBE) results for a relaxed structure of BeAlRe2.

Unit cell a=3.7142 b=3.7142 c=9.2152 alpha=78.37 beta=78.37 gamma=90.00
Positions (direct):
Re 0.5876 0.1250 0.2500
Re 0.1624 0.6250 0.2500
Re 0.3750 0.4124 0.7500
Re 0.8750 0.8376 0.7500
Al 0.0000 0.0000 0.0000
Al 0.7500 0.2500 0.5000
Be 0.5000 0.5000 0.0000
Be 0.2500 0.7500 0.5000

* SG: No. 122
* energy relative to the elements: 0.491 eV/atom

***

2.
DFT (GGA-PBE) results for a relaxed structure of Be17AlRe.

Unit cell a=5.5092 b=5.5092 c=5.5092 alpha=82.13 beta=82.13 gamma=82.13
Positions (direct):
Be 0.3054 0.9978 0.6956
Be 0.6956 0.3054 0.9978
Be 0.9978 0.6956 0.3054
Be 0.3054 0.6956 0.9978
Be 0.9978 0.3054 0.6956
Be 0.6956 0.9978 0.3054
Be 0.3485 0.8321 0.3485
Be 0.3485 0.3485 0.8321
Be 0.8321 0.3485 0.3485
Be 0.6575 0.1558 0.6575
Be 0.6575 0.6575 0.1558
Be 0.1558 0.6575 0.6575
Be 0.9942 0.5003 0.9942
Be 0.9942 0.9942 0.5003
Be 0.5003 0.9942 0.9942
Be 0.8969 0.8969 0.8969
Be 0.0996 0.0996 0.0996
Al 0.3505 0.3505 0.3505
Re 0.6669 0.6669 0.6669

* SG: No. 160
* energy relative to the elements: -0.054 eV/atom

***

Number 1: E -7.60 eV per atom, calculated volume 15.23 Å³/atom. Number 2: E -4.24 eV per atom, calculated volume 8.57 Å³/atom.